Entry 1:
This record from Alexandria via LeMat-Bulk describes ErTi after structural relaxation. The functional is GGA-PBE.

ΔE_f (kJ/mol of formula units): 46
Symmetry: Pmmn
Magnetization (μB/cell): 0.0

a = 3.2255 Å, b = 5.0329 Å, c = 5.7381 Å
α = 90.00°, β = 90.02°, γ = 90.00°
Sites, in units of the cell vectors:
1 Ti 0.7505 0.7500 0.5723
2 Ti 0.2495 0.2500 0.4277
3 Er 0.7496 0.2500 0.8901
4 Er 0.2504 0.7500 0.1099


Entry 2:
This record from Alexandria via LeMat-Bulk describes MgZr2GaCu after structural relaxation. The functional is GGA-PBE.

ΔE_f (kJ/mol of formula units): 538
Symmetry: P4/mmm
Magnetization (μB/cell): 0.0

a = 5.0653 Å, b = 4.5752 Å, c = 5.0653 Å
α = 90.00°, β = 90.00°, γ = 90.00°
Sites, in units of the cell vectors:
1 Mg 0.0000 0.0000 0.0000
2 Zr 0.5000 0.0000 0.0000
3 Zr 0.0000 0.0000 0.5000
4 Cu 0.5000 0.5000 0.5000
5 Ga 0.0000 0.5000 0.0000


Entry 3:
This record from Alexandria via LeMat-Bulk describes Ac4SiPtSe2 after structural relaxation. The functional is GGA-PBE.

Symmetry: P2/m
Magnetization (μB/cell): 0.0
E_form (uncorrected) (eV per formula unit): -10.81

a = 4.4695 Å, b = 7.7576 Å, c = 7.9269 Å
α = 108.51°, β = 90.00°, γ = 90.00°
Sites, in units of the cell vectors:
1 Si 0.5000 0.5000 0.0000
2 Se 0.5000 0.0000 0.5000
3 Se 0.0000 0.5000 0.5000
4 Ac 0.5000 0.2431 0.2344
5 Ac 0.0000 0.2519 0.7646
6 Ac 0.0000 0.7481 0.2354
7 Ac 0.5000 0.7569 0.7656
8 Pt 0.0000 0.0000 0.0000


Entry 4:
This record from Alexandria via LeMat-Bulk describes CsReBiC2 after structural relaxation. The functional is GGA-PBE.

ΔE_f (kJ/mol of formula units): 765
Symmetry: P4/mmm
Magnetization (μB/cell): 0.0

a = 4.2842 Å, b = 5.6983 Å, c = 4.2842 Å
α = 90.00°, β = 90.00°, γ = 90.00°
Sites, in units of the cell vectors:
1 Cs 0.5000 0.5000 0.5000
2 C 0.0000 0.0000 0.5000
3 C 0.5000 0.0000 0.0000
4 Re 0.0000 0.0000 0.0000
5 Bi 0.0000 0.5000 0.0000


Entry 5:
This record from Alexandria via LeMat-Bulk describes ErTaRu4 after structural relaxation. The functional is GGA-PBE.

ΔE_f (kJ/mol of formula units): -78
Symmetry: F-43m
Magnetization (μB/cell): 0.0

a = 5.2049 Å, b = 5.2049 Å, c = 5.2049 Å
α = 60.00°, β = 60.00°, γ = 60.00°
Sites, in units of the cell vectors:
1 Ta 0.0000 0.0000 0.0000
2 Er 0.2500 0.2500 0.2500
3 Ru 0.6251 0.6251 0.6251
4 Ru 0.6251 0.6251 0.1248
5 Ru 0.6251 0.1248 0.6251
6 Ru 0.1248 0.6251 0.6251


Entry 6:
This record from Alexandria via LeMat-Bulk describes Dy3Tm2ThSe6 after structural relaxation. The functional is GGA-PBE.

Symmetry: C2/m
Magnetization (μB/cell): 0.0
E_form (uncorrected) (eV per formula unit): -20.11

a = 4.0416 Å, b = 8.2444 Å, c = 9.0802 Å
α = 101.32°, β = 102.86°, γ = 90.00°
Sites, in units of the cell vectors:
1 Se 0.3259 0.9062 0.6517
2 Se 0.0041 0.2636 0.0081
3 Se 0.3304 0.4175 0.6608
4 Se 0.6741 0.0938 0.3483
5 Se 0.6696 0.5825 0.3392
6 Se 0.9959 0.7364 0.9919
7 Dy 0.5000 0.5000 0.0000
8 Dy 0.1582 0.8360 0.3164
9 Dy 0.8418 0.1640 0.6836
10 Tm 0.1638 0.3309 0.3276
11 Tm 0.8362 0.6691 0.6724
12 Th 0.5000 0.0000 0.0000


Entry 7:
This record from Alexandria via LeMat-Bulk describes BeZn2Sn after structural relaxation. The functional is GGA-PBE.

ΔE_f (kJ/mol of formula units): 111
Symmetry: I-42d
Magnetization (μB/cell): 0.0
Energy relative to the lowest polymorph listed for this composition (eV/atom): 0.0000

a = 4.1388 Å, b = 4.1388 Å, c = 8.9058 Å
α = 76.56°, β = 76.56°, γ = 90.00°
Sites, in units of the cell vectors:
1 Zn 0.5509 0.1250 0.2500
2 Zn 0.3750 0.4491 0.7500
3 Zn 0.1991 0.6250 0.2500
4 Zn 0.8750 0.8009 0.7500
5 Be 0.2500 0.7500 0.5000
6 Be 0.5000 0.5000 0.0000
7 Sn 0.7500 0.2500 0.5000
8 Sn 0.0000 0.0000 0.0000


Entry 8:
This record from Alexandria via LeMat-Bulk describes Cr2B2Cl after structural relaxation. The functional is GGA-PBE.

Symmetry: I4/mmm
Magnetization (μB/cell): 0.0
E_form (uncorrected) (eV per formula unit): 3.13
Energy relative to the lowest polymorph listed for this composition (eV/atom): 0.3778

a = 3.9187 Å, b = 3.9187 Å, c = 4.4704 Å
α = 64.01°, β = 64.01°, γ = 90.00°
Sites, in units of the cell vectors:
1 Cr 0.2500 0.7500 0.5000
2 Cr 0.7500 0.2500 0.5000
3 B 0.6218 0.6218 0.7564
4 B 0.3782 0.3782 0.2436
5 Cl 0.0000 0.0000 0.0000